# 1
Compound: Be2NiBr
Source: the Alexandria database
Functional: PBE-GGA
Structure: optimized geometry

Cell: 4.1667 4.1667 2.9255 Å, 90.00 90.00 90.00°
Atoms (fractional coordinates):
Be 0.0000 0.5000 0.0000
Be 0.5000 0.0000 0.0000
Ni 0.0000 0.0000 0.5000
Br 0.5000 0.5000 0.5000

Calculated values
- ΔE_f (raw): 635.4 meV/atom
- SG: P4/mmm, No. 123
- Calculated volume: 12.7 A^3/atom
- Energy above the most stable polymorph in this dataset: 0.5718 eV per atom



# 2
Compound: LiCoRh2Br
Source: the Alexandria database
Functional: PBE-GGA
Structure: optimized geometry

Cell: 4.3258 4.3258 4.1399 Å, 90.00 90.00 90.00°
Atoms (fractional coordinates):
Li 0.0000 0.0000 0.0000
Co 0.0000 0.0000 0.5000
Rh 0.0000 0.5000 0.0000
Rh 0.5000 0.0000 0.0000
Br 0.5000 0.5000 0.5000

Calculated values
- ΔE_f (raw): 1051.7 meV/atom
- SG: P4/mmm, No. 123
- Calculated volume: 15.5 A^3/atom



Calculated magnetization, 0.0 3.5 μB/f.u. (same order as the records).
Calculated calculated total energy, -3.091 -4.027 eV/atom (same order as the records).